[1]
12
Lattice="5.3117 0.0000 0.0000 0.0000 3.9334 0.0000 0.0000 0.0000 17.2838" Properties=species:S:1:pos:R:3 comment="AsPb5 | Alexandria | PBE | optimized geometry" formation_enthalpy_0k_ev_per_atom=0.079 de_polymorph_mev_per_atom=22 total_magnetization_mub_per_cell=0.000 spacegroup="No. 38" pbc="T T T"
As 0.0000 0.0000 0.0000
As 0.0000 1.9667 8.6419
Pb 0.0000 0.0000 6.2093
Pb 0.0000 0.0000 11.0762
Pb 0.0000 1.9667 2.4344
Pb 0.0000 1.9667 14.8512
Pb 2.6558 0.0000 3.0082
Pb 2.6558 0.0000 8.6457
Pb 2.6558 0.0000 14.2897
Pb 2.6558 1.9667 0.0038
Pb 2.6558 1.9667 5.6478
Pb 2.6558 1.9667 11.6501



[2]
5
Lattice="5.8129 0.0000 0.0000 0.0000 5.8129 0.0000 0.0000 0.0000 5.8129" Properties=species:S:1:pos:R:3 comment="Na3TaI | Alexandria | PBE | optimized geometry" de_polymorph_mev_per_atom=0 e_form_raw_ev_per_fu=4.514 total_magnetization_mub_per_cell=4.977 spacegroup="No. 221" pbc="T T T"
Na 0.0000 0.0000 2.9065
Na 0.0000 2.9065 0.0000
Na 2.9065 0.0000 0.0000
Ta 2.9065 2.9065 2.9065
I 0.0000 0.0000 0.0000



[3]
16
Lattice="7.2905 0.0000 0.0000 0.0000 7.2905 0.0000 0.0000 0.0000 7.2905" Properties=species:S:1:pos:R:3 comment="BeSbTe2 | Alexandria | PBE | optimized geometry" de_polymorph_mev_per_atom=668 e_form_raw_ev_per_fu=2.779 total_magnetization_mub_per_cell=0.000 spacegroup="No. 216" pbc="T T T"
Be 0.0000 0.0000 0.0000
Be 0.0000 3.6453 3.6453
Be 3.6453 0.0000 3.6453
Be 3.6453 3.6453 0.0000
Sb 1.8226 1.8226 5.4679
Sb 1.8226 5.4679 1.8226
Sb 5.4679 1.8226 1.8226
Sb 5.4679 5.4679 5.4679
Te 0.0000 0.0000 3.6453
Te 0.0000 3.6453 0.0000
Te 1.8226 1.8226 1.8226
Te 1.8226 5.4679 5.4679
Te 3.6453 0.0000 0.0000
Te 3.6453 3.6453 3.6453
Te 5.4679 1.8226 5.4679
Te 5.4679 5.4679 1.8226



Repeat the third record exactly.
16
Lattice="7.2905 0.0000 0.0000 0.0000 7.2905 0.0000 0.0000 0.0000 7.2905" Properties=species:S:1:pos:R:3 comment="BeSbTe2 | Alexandria | PBE | optimized geometry" de_polymorph_mev_per_atom=668 e_form_raw_ev_per_fu=2.779 total_magnetization_mub_per_cell=0.000 spacegroup="No. 216" pbc="T T T"
Be 0.0000 0.0000 0.0000
Be 0.0000 3.6453 3.6453
Be 3.6453 0.0000 3.6453
Be 3.6453 3.6453 0.0000
Sb 1.8226 1.8226 5.4679
Sb 1.8226 5.4679 1.8226
Sb 5.4679 1.8226 1.8226
Sb 5.4679 5.4679 5.4679
Te 0.0000 0.0000 3.6453
Te 0.0000 3.6453 0.0000
Te 1.8226 1.8226 1.8226
Te 1.8226 5.4679 5.4679
Te 3.6453 0.0000 0.0000
Te 3.6453 3.6453 3.6453
Te 5.4679 1.8226 5.4679
Te 5.4679 5.4679 1.8226